(1)
First-principles (PBE-GGA) data for a geometry-optimized La2InC structure, as listed in Alexandria.

POSCAR file:
```
La2InC
1.0
7.5226 0.0000 0.0000
0.0000 7.5226 0.0000
0.0000 0.0000 8.2282
La In C
8 4 4
Cartesian
1.1854 1.8806 1.0285
1.8806 4.9467 3.0856
1.8806 6.3371 7.1997
2.5759 1.8806 5.1426
4.9467 5.6419 5.1426
5.6419 1.1854 7.1997
5.6419 2.5759 3.0856
6.3371 5.6419 1.0285
0.0000 0.0000 4.1141
0.0000 3.7613 6.1712
3.7613 0.0000 2.0571
3.7613 3.7613 0.0000
0.0000 0.0000 0.0000
0.0000 3.7613 2.0571
3.7613 0.0000 6.1712
3.7613 3.7613 4.1141
```

Computed properties:
For the total DFT energy (no corrections), the calculation gives -5.49 eV per atom. The value obtained for the calculated formation energy is -0.04 eV/atom. As for the crystal system: tetragonal.


(2)
First-principles (PBE-GGA) data for a geometry-optimized EuGdCdSi structure, as listed in Alexandria.

POSCAR file:
```
EuGdCdSi
1.0
7.4160 0.0000 0.0000
0.0000 7.4160 0.0000
0.0000 0.0000 7.4160
Eu Gd Cd Si
4 4 4 4
Cartesian
0.0000 0.0000 0.0000
0.0000 3.7080 3.7080
3.7080 0.0000 3.7080
3.7080 3.7080 0.0000
0.0000 0.0000 3.7080
0.0000 3.7080 0.0000
3.7080 0.0000 0.0000
3.7080 3.7080 3.7080
1.8540 1.8540 5.5620
1.8540 5.5620 1.8540
5.5620 1.8540 1.8540
5.5620 5.5620 5.5620
1.8540 1.8540 1.8540
1.8540 5.5620 5.5620
5.5620 1.8540 5.5620
5.5620 5.5620 1.8540
```

Computed properties:
For the total DFT energy (no corrections), the calculation gives -8.03 eV per atom. For the raw formation energy, the calculation gives -1.42 eV/f.u. As for the crystal system: cubic.


(3)
First-principles (PBE-GGA) data for a geometry-optimized BeBiSeN2 structure, as listed in Alexandria.

POSCAR file:
```
BeBiSeN2
1.0
4.1743 0.0000 0.0000
0.0000 4.1743 0.0000
0.0000 0.0000 6.1280
Be Bi Se N
1 1 1 2
Cartesian
0.0000 0.0000 0.0000
2.0872 2.0872 3.0640
2.0872 2.0872 0.0000
0.0000 2.0872 3.0640
2.0872 0.0000 3.0640
```

Computed properties:
For the total DFT energy (no corrections), the calculation gives -3.70 eV per atom. For the raw formation energy, the calculation gives 9.23 eV/f.u. As for the crystal system: tetragonal.


(4)
First-principles (PBE-GGA) data for a geometry-optimized AlSiBr2 structure, as listed in Alexandria.

POSCAR file:
```
AlSiBr2
1.0
3.7507 0.0000 0.0000
0.0000 6.4026 0.0000
0.0000 0.0000 9.3683
Al Si Br
2 2 4
Cartesian
0.0000 0.0000 0.0000
1.8754 3.2013 0.0000
0.0000 3.2013 1.7469
1.8754 0.0000 1.7469
0.0000 0.0000 3.5532
0.0000 3.2013 7.5771
1.8754 0.0000 7.5771
1.8754 3.2013 3.5532
```

Computed properties:
For the total DFT energy (no corrections), the calculation gives -3.17 eV per atom. For the raw formation energy, the calculation gives -0.17 eV/f.u. As for the crystal system: orthorhombic.


(5)
First-principles (PBE-GGA) data for a geometry-optimized Tl2SbPb structure, as listed in Alexandria.

POSCAR file:
```
Tl2SbPb
1.0
7.8671 0.0000 0.0000
0.0000 7.8671 0.0000
0.0000 0.0000 7.8671
Tl Sb Pb
8 4 4
Cartesian
1.9668 1.9668 1.9668
1.9668 1.9668 5.9003
1.9668 5.9003 1.9668
1.9668 5.9003 5.9003
5.9003 1.9668 1.9668
5.9003 1.9668 5.9003
5.9003 5.9003 1.9668
5.9003 5.9003 5.9003
0.0000 0.0000 0.0000
0.0000 3.9336 3.9336
3.9336 0.0000 3.9336
3.9336 3.9336 0.0000
0.0000 0.0000 3.9336
0.0000 3.9336 0.0000
3.9336 0.0000 0.0000
3.9336 3.9336 3.9336
```

Computed properties:
For the total DFT energy (no corrections), the calculation gives -3.04 eV per atom. For the raw formation energy, the calculation gives 0.39 eV/f.u. As for the crystal system: cubic.


(6)
First-principles (PBE-GGA) data for a geometry-optimized Cs12Rb3Hg5 structure, as listed in Alexandria.

POSCAR file:
```
Cs12Rb3Hg5
1.0
-12.3493 12.3493 12.3493
12.3493 -12.3493 12.3493
12.3493 12.3493 -12.3493
Cs Rb Hg
48 12 20
Cartesian
3.4237 -0.9903 1.3971
15.1002 7.5718 -7.1649
11.3590 -1.3971 3.4237
19.5142 -2.7509 4.7775
15.7729 0.9903 1.3971
15.1002 -4.7775 7.1649
1.3971 3.4237 -0.9903
17.1267 5.1843 -2.7509
7.5718 7.1649 -2.7509
10.9521 3.4237 0.9903
-0.9903 1.3971 3.4237
7.1649 -2.7509 7.5718
11.3590 10.9521 -3.4237
7.1649 2.7509 4.7775
10.9521 -3.4237 11.3590
7.5718 -7.1649 15.1002
4.7775 7.1649 2.7509
13.7464 8.9256 0.9903
3.4237 11.3590 -1.3971
15.1002 4.7775 5.1843
7.1649 15.1002 -4.7775
11.3590 1.3971 8.9256
2.7509 4.7775 7.1649
3.4237 0.9903 10.9521
8.9256 11.3590 1.3971
9.5983 7.5718 5.1843
0.9903 10.9521 3.4237
5.1843 -2.7509 17.1267
-2.7509 7.5718 7.1649
8.9256 0.9903 13.7464
-1.3971 3.4237 11.3590
7.5718 5.1843 9.5983
4.7775 19.5142 -2.7509
1.3971 15.7729 0.9903
5.1843 9.5983 7.5718
0.9903 1.3971 15.7729
5.1843 15.1002 4.7775
13.3395 10.9521 8.9256
1.3971 8.9256 11.3590
4.7775 5.1843 15.1002
-4.7775 7.1649 15.1002
10.9521 8.9256 13.3395
-2.7509 17.1267 5.1843
-3.4237 11.3590 10.9521
-7.1649 15.1002 7.5718
0.9903 13.7464 8.9256
-2.7509 4.7775 19.5142
8.9256 13.3395 10.9521
6.1746 3.0873 0.0000
12.3493 6.1746 -3.0873
3.0873 0.0000 6.1746
15.4366 0.0000 6.1746
0.0000 6.1746 3.0873
6.1746 -3.0873 12.3493
6.1746 15.4366 0.0000
12.3493 6.1746 9.2619
-3.0873 12.3493 6.1746
9.2619 12.3493 6.1746
0.0000 6.1746 15.4366
6.1746 9.2619 12.3493
0.0000 0.0000 0.0000
6.1746 6.1746 -6.1746
6.1746 -6.1746 6.1746
12.3493 0.0000 0.0000
18.5239 3.0873 0.0000
12.3493 -6.1746 9.2619
9.2619 12.3493 -6.1746
9.2619 0.0000 6.1746
6.1746 9.2619 0.0000
12.3493 6.1746 3.0873
-6.1746 6.1746 6.1746
0.0000 12.3493 0.0000
0.0000 0.0000 12.3493
6.1746 6.1746 6.1746
0.0000 6.1746 9.2619
6.1746 3.0873 12.3493
3.0873 12.3493 6.1746
3.0873 0.0000 18.5239
0.0000 18.5239 3.0873
-6.1746 9.2619 12.3493
```

Computed properties:
For the total DFT energy (no corrections), the calculation gives -0.75 eV per atom. The value obtained for the calculated formation energy is -0.02 eV/atom. As for the crystal system: cubic.


(7)
First-principles (PBE-GGA) data for a geometry-optimized SrEuIn2 structure, as listed in Alexandria.

POSCAR file:
```
SrEuIn2
1.0
4.0212 0.0000 0.0000
0.0000 4.0212 0.0000
0.0000 0.0000 7.9869
Sr Eu In
1 1 2
Cartesian
0.0000 0.0000 0.0000
0.0000 0.0000 3.9935
2.0106 2.0106 2.1207
2.0106 2.0106 5.8662
```

Computed properties:
For the total DFT energy (no corrections), the calculation gives -4.81 eV per atom. The value obtained for the calculated formation energy is -0.45 eV/atom. As for the crystal system: tetragonal.


(8)
First-principles (PBE-GGA) data for a geometry-optimized BeFePb structure, as listed in Alexandria.

POSCAR file:
```
BeFePb
1.0
3.8652 0.0000 0.0000
-1.9326 3.3473 0.0000
0.0000 0.0000 3.4298
Be Fe Pb
1 1 1
Cartesian
0.0000 0.0000 0.0000
1.9326 1.1158 0.0000
0.0000 2.2316 1.7149
```

Computed properties:
For the total DFT energy (no corrections), the calculation gives -4.72 eV per atom. The value obtained for the calculated formation energy is 0.58 eV/atom. As for the crystal system: hexagonal.


Q: Which of these has the lowest total DFT energy (no corrections)?
A: EuGdCdSi


Q: What is the formula in the seventh record?
A: SrEuIn2


Q: Which value of total DFT energy (no corrections) does entry 1 give?
A: -5.49 eV per atom